# MoIr6W5

A relaxed structure of MoIr6W5 (PBE, the Alexandria database).

Cell: 3.9300 11.7693 7.8649 Å, 90.00 90.00 90.00°
Last column: nearest neighbours and their distance in Å.
Space group Cmmm (No. 65)
Inequivalent atoms, fractional coordinates:
Mo  0.0000  0.0000  0.0000  4 W 2.77, 8 Ir 2.78
Ir  0.0000  0.1667  0.2502  7 W 2.77-2.78, 4 Ir 2.78, 1 Mo 2.78
Ir  0.0000  0.5000  0.2504  6 W 2.77-2.78, 4 Ir 2.78, 2 Mo 2.78
W  0.0000  0.0000  0.5000  8 Ir 2.78, 4 W 2.78
W  0.0000  0.3331  0.5000  4 W 2.77-2.78, 8 Ir 2.77-2.78
W  0.0000  0.3341  0.0000  2 Mo 2.77, 8 Ir 2.77-2.78, 2 W 2.79

Properties
Total moment ... 0.0000 μB/atom
DFT total energy ... -11.019 eV per atom
Energy of formation from the pure elements ... -0.29 eV per atom

=====

# MoIr2W

A relaxed structure of MoIr2W (PBE, the Alexandria database).

Cell: 2.7910 2.7910 27.0862 Å, 90.00 90.00 120.00°
Last column: nearest neighbours and their distance in Å.
Space group R-3m (No. 166, hexagonal axes)
Inequivalent atoms, fractional coordinates:
Mo  0.0000  0.0000  0.0000  6 Ir 2.77, 6 Mo 2.79
Ir  0.0000  0.0000  0.2500  3 W 2.77, 3 Mo 2.77, 6 Ir 2.79
W  0.0000  0.0000  0.5000  6 Ir 2.77, 6 W 2.79

Properties
Total moment ... 0.0000 μB/atom
DFT total energy ... -10.472 eV per atom
Energy of formation from the pure elements ... -0.10 eV per atom
Distance to the lowest polymorph of the same formula ... 0.87 eV per formula unit